(1)
Density functional theory data (PBE-GGA) for crystalline AcAg8Hg3 at its relaxed geometry.

POSCAR file:
```
AcAg8Hg3
1.0
5.680 0.000 0.000
-2.840 4.919 0.000
0.000 0.000 9.340
Ac Ag Hg
1 8 3
Cartesian
0.000 0.000 5.260 Ac
0.000 3.279 4.653 Ag
0.000 3.279 0.022 Ag
2.840 0.025 7.099 Ag
1.441 2.447 7.099 Ag
4.239 2.447 7.099 Ag
0.000 1.619 2.280 Ag
-1.438 4.109 2.280 Ag
1.438 4.109 2.280 Ag
2.840 1.640 3.859 Hg
2.840 1.640 0.579 Hg
0.000 0.000 8.864 Hg
```

Calculated values
- DFT total energy (eV/atom) = -2.35
- magnetization (μB/f.u.) = 0.000
- formation energy from the elements (eV/atom) = -0.04
- crystal system = trigonal


(2)
Density functional theory data (PBE-GGA) for crystalline AcAg3Hg2 at its relaxed geometry.

POSCAR file:
```
AcAg3Hg2
1.0
4.742 0.000 0.000
-2.371 9.840 0.691
0.000 -3.911 5.914
Ac Ag Hg
2 6 4
Cartesian
2.371 3.851 6.008 Ac
0.000 2.078 0.597 Ac
0.000 3.969 3.532 Ag
2.371 6.473 3.608 Ag
2.371 -0.391 4.643 Ag
0.000 6.320 1.962 Ag
0.000 -0.544 2.997 Ag
2.371 1.960 3.073 Ag
0.000 6.531 5.164 Hg
2.371 -0.603 1.441 Hg
2.371 4.430 1.553 Hg
0.000 1.498 5.052 Hg
```

Calculated values
- DFT total energy (eV/atom) = -2.41
- magnetization (μB/f.u.) = 0.000
- formation energy from the elements (eV/atom) = -0.19
- crystal system = monoclinic


(3)
Density functional theory data (PBE-GGA) for crystalline Ac2Ag5Hg at its relaxed geometry.

POSCAR file:
```
Ac2Ag5Hg
1.0
4.723 0.000 0.000
-2.362 8.697 0.000
0.000 0.000 10.057
Ac Ag Hg
4 10 2
Cartesian
2.362 5.148 7.543 Ac
0.000 3.549 2.514 Ac
0.000 0.000 0.000 Ac
0.000 0.000 5.029 Ac
0.000 3.174 8.940 Ag
2.362 5.523 1.117 Ag
0.000 3.174 6.146 Ag
2.362 5.523 3.911 Ag
0.000 6.022 9.828 Ag
2.362 2.674 0.229 Ag
0.000 6.022 5.258 Ag
2.362 2.674 4.799 Ag
2.362 1.832 7.543 Ag
0.000 6.865 2.514 Ag
0.000 7.731 7.543 Hg
2.362 0.966 2.514 Hg
```

Calculated values
- DFT total energy (eV/atom) = -3.10
- magnetization (μB/f.u.) = 0.000
- formation energy from the elements (eV/atom) = -0.25
- crystal system = orthorhombic
- excess energy over the best structure of this formula in the dataset (meV/atom) = 0


(4)
Density functional theory data (PBE-GGA) for crystalline AcAg2Hg4 at its relaxed geometry.

POSCAR file:
```
AcAg2Hg4
1.0
6.081 0.190 0.384
2.509 5.119 -0.479
-1.558 -1.848 5.597
Ac Ag Hg
1 2 4
Cartesian
0.000 0.000 0.000 Ac
4.134 3.013 2.639 Ag
2.898 0.448 2.863 Ag
5.462 3.668 -0.092 Hg
1.570 -0.207 5.594 Hg
-0.181 0.435 3.279 Hg
7.213 3.027 2.223 Hg
```

Calculated values
- DFT total energy (eV/atom) = -1.78
- magnetization (μB/f.u.) = 0.000
- formation energy from the elements (eV/atom) = -0.21
- crystal system = monoclinic
- excess energy over the best structure of this formula in the dataset (meV/atom) = 0